Record 1
A relaxed structure of Ac14HoSc, computed with PBE-GGA.

Properties
Its total energy is -67.684 eV per cell. The energy relative to the elements comes out at 0.046 eV/atom. The space group is Amm2, No. 38.

Unit cell a=7.832 b=7.832 c=11.149 alpha=90.00 beta=90.00 gamma=90.00
Atoms (fractional coordinates):
Ho: 0.875 0.125 0.000
Ac: 0.127 0.377 0.242
Ac: 0.623 0.873 0.758
Ac: 0.375 0.625 0.500
Ac: 0.376 0.126 0.000
Ac: 0.623 0.873 0.242
Ac: 0.375 0.125 0.500
Ac: 0.126 0.874 0.759
Ac: 0.875 0.625 0.500
Ac: 0.624 0.376 0.242
Ac: 0.127 0.377 0.758
Ac: 0.126 0.874 0.241
Ac: 0.624 0.376 0.758
Ac: 0.874 0.624 0.000
Ac: 0.875 0.125 0.500
Sc: 0.375 0.625 0.000

=====

Record 2
A relaxed structure of Ta2CrSi6, computed with PBE-GGA.

Properties
Its total energy is -69.338 eV per cell. As for the formation energy from raw total energies: -385.7 meV per atom. The space group is C222, No. 21.

Unit cell a=4.734 b=4.734 c=6.498 alpha=90.00 beta=90.00 gamma=121.03
Atoms (fractional coordinates):
Si: 0.841 0.159 0.000
Si: 0.169 0.323 0.675
Si: 0.323 0.169 0.325
Si: 0.159 0.841 0.000
Si: 0.677 0.831 0.325
Si: 0.831 0.677 0.675
Ta: 0.000 0.500 0.336
Ta: 0.500 0.000 0.664
Cr: 0.500 0.500 0.000

=====

Record 3
A relaxed structure of Pm3Sn4Rh2, computed with PBE-GGA.

Properties
For the energy above the most stable polymorph in this dataset, the calculation gives 0 meV per atom. Its total energy is -51.867 eV per cell. The energy relative to the elements comes out at -0.767 eV/atom. The space group is C2/m, No. 12.

Unit cell a=4.627 b=6.199 c=8.820 alpha=106.52 beta=90.00 gamma=111.91
Atoms (fractional coordinates):
Pm: 0.368 0.737 0.313
Pm: 0.000 0.000 0.000
Pm: 0.632 0.263 0.687
Rh: 0.306 0.611 0.621
Rh: 0.694 0.389 0.379
Sn: 0.705 0.410 0.078
Sn: 0.914 0.828 0.608
Sn: 0.086 0.172 0.392
Sn: 0.295 0.590 0.922

=====

Record 4
A relaxed structure of Ac9Os2Pt4, computed with PBE-GGA.

Properties
Its total energy is -187.016 eV per cell. The energy relative to the elements comes out at -0.661 eV/atom. The space group is P-1, No. 2.

Unit cell a=7.575 b=7.580 c=21.085 alpha=89.96 beta=90.00 gamma=60.04
Atoms (fractional coordinates):
Os: 0.001 0.998 0.659
Os: 0.000 0.998 0.159
Os: 0.000 0.002 0.841
Os: 0.999 0.002 0.341
Ac: 0.990 0.676 0.915
Ac: 0.666 0.324 0.585
Ac: 0.010 0.664 0.585
Ac: 0.664 0.010 0.085
Ac: 0.334 0.676 0.415
Ac: 0.326 0.010 0.585
Ac: 0.010 0.324 0.085
Ac: 0.990 0.336 0.415
Ac: 0.688 0.312 0.250
Ac: 0.325 0.664 0.085
Ac: 0.311 0.000 0.250
Ac: 0.675 0.336 0.915
Ac: 0.312 0.688 0.750
Ac: 0.689 0.000 0.750
Ac: 0.336 0.990 0.915
Ac: 0.998 0.689 0.250
Ac: 0.002 0.311 0.750
Ac: 0.674 0.990 0.415
Pt: 0.667 0.667 0.006
Pt: 0.666 0.667 0.505
Pt: 0.334 0.333 0.672
Pt: 0.334 0.333 0.495
Pt: 0.667 0.666 0.827
Pt: 0.666 0.667 0.328
Pt: 0.333 0.334 0.173
Pt: 0.333 0.333 0.994

=====

Record 5
A relaxed structure of Er2Cd12Ag, computed with PBE-GGA.

Properties
Its total energy is -47.087 eV per cell. The energy relative to the elements comes out at -0.039 eV/atom. The space group is P4/nbm, No. 125.

Unit cell a=6.142 b=6.142 c=19.155 alpha=90.00 beta=90.00 gamma=90.00
Atoms (fractional coordinates):
Cd: 0.500 0.500 0.804
Cd: 0.750 0.750 0.905
Cd: 0.330 0.830 0.432
Cd: 0.670 0.170 0.432
Cd: 0.170 0.330 0.432
Cd: 0.330 0.170 0.568
Cd: 0.500 0.500 0.337
Cd: 0.000 0.000 0.663
Cd: 0.000 0.000 0.196
Cd: 0.500 0.500 0.196
Cd: 0.000 0.000 0.804
Cd: 0.750 0.250 0.905
Cd: 0.170 0.670 0.568
Cd: 0.500 0.500 0.663
Cd: 0.250 0.250 0.095
Cd: 0.250 0.750 0.095
Cd: 0.250 0.750 0.905
Cd: 0.250 0.250 0.905
Cd: 0.830 0.670 0.432
Cd: 0.830 0.330 0.568
Cd: 0.000 0.000 0.337
Cd: 0.750 0.250 0.095
Cd: 0.750 0.750 0.095
Cd: 0.670 0.830 0.568
Ag: 0.000 0.500 0.000
Ag: 0.500 0.000 0.000
Er: 0.000 0.500 0.258
Er: 0.500 0.000 0.258
Er: 0.000 0.500 0.742
Er: 0.500 0.000 0.742

=====

Record 6
A relaxed structure of Pm8InHg2, computed with PBE-GGA.

Properties
Its total energy is -43.975 eV per cell. The energy relative to the elements comes out at -0.239 eV/atom. The space group is C2/m, No. 12.

Unit cell a=5.153 b=8.239 c=9.171 alpha=113.59 beta=106.31 gamma=90.00
Atoms (fractional coordinates):
Hg: 0.198 0.652 0.396
Hg: 0.802 0.348 0.604
Pm: 0.406 0.540 0.811
Pm: 0.830 0.749 0.659
Pm: 0.958 0.249 0.915
Pm: 0.678 0.956 0.356
Pm: 0.170 0.251 0.341
Pm: 0.322 0.044 0.644
Pm: 0.594 0.460 0.189
Pm: 0.042 0.751 0.085
In: 0.500 0.000 0.000